[1]
Computed, not measured: a crystal of Ba5Sr relaxed with PBEsol at the SCAN level of DFT.

Unit cell a=4.311 b=8.304 c=10.303 alpha=105.00 beta=90.00 gamma=105.04
Sites, in units of the cell vectors:
Sr 0.722 0.444 0.945
Ba 0.332 0.665 0.668
Ba 0.057 0.114 0.613
Ba 0.388 0.775 0.276
Ba 0.667 0.333 0.332
Ba 0.001 0.002 0.000

Results
Formation energy from the elements, eV/atom: 0.0323
Calculated total energy, eV per atom: -36.64
DOS(E_F), states/eV per cell: 8.40
Energy above the most stable polymorph in this dataset, meV/atom: 6

[2]
Computed, not measured: a crystal of Ba3Sr relaxed with PBEsol at the SCAN level of DFT.

Unit cell a=4.320 b=7.485 c=7.504 alpha=99.83 beta=106.73 gamma=90.00
Sites, in units of the cell vectors:
Sr 0.000 0.000 0.000
Ba 0.500 0.500 0.000
Ba 0.750 0.248 0.499
Ba 0.250 0.752 0.501

Results
Formation energy from the elements, eV/atom: 0.0300
Calculated total energy, eV per atom: -35.20
DOS(E_F), states/eV per cell: 5.14
Energy above the most stable polymorph in this dataset, meV/atom: 24

[3]
Computed, not measured: a crystal of BaSr3 relaxed with PBEsol at the SCAN level of DFT.

Unit cell a=4.223 b=7.337 c=7.337 alpha=109.39 beta=90.00 gamma=90.00
Sites, in units of the cell vectors:
Ba 0.000 0.000 0.000
Sr 0.500 0.500 0.000
Sr 0.000 0.500 0.500
Sr 0.500 0.000 0.500

Results
Formation energy from the elements, eV/atom: 0.0189
Calculated total energy, eV per atom: -26.58
DOS(E_F), states/eV per cell: 3.84
Energy above the most stable polymorph in this dataset, meV/atom: 6

[4]
Computed, not measured: a crystal of Ba3Sr relaxed with PBEsol at the SCAN level of DFT.

Unit cell a=4.187 b=4.187 c=13.652 alpha=90.00 beta=90.00 gamma=109.34
Sites, in units of the cell vectors:
Ba 0.000 0.000 0.254
Ba 0.000 0.000 0.746
Ba 0.500 0.500 0.000
Sr 0.500 0.500 0.500

Results
Formation energy from the elements, eV/atom: 0.0066
Calculated total energy, eV per atom: -35.22
DOS(E_F), states/eV per cell: 4.67
Energy above the most stable polymorph in this dataset, meV/atom: 0

Which value of calculated total energy does entry 3 give? -26.58 eV per atom

Repeat the first record exactly.
Computed, not measured: a crystal of Ba5Sr relaxed with PBEsol at the SCAN level of DFT.

Unit cell a=4.311 b=8.304 c=10.303 alpha=105.00 beta=90.00 gamma=105.04
Sites, in units of the cell vectors:
Sr 0.722 0.444 0.945
Ba 0.332 0.665 0.668
Ba 0.057 0.114 0.613
Ba 0.388 0.775 0.276
Ba 0.667 0.333 0.332
Ba 0.001 0.002 0.000

Results
Formation energy from the elements, eV/atom: 0.0323
Calculated total energy, eV per atom: -36.64
DOS(E_F), states/eV per cell: 8.40
Energy above the most stable polymorph in this dataset, meV/atom: 6

Look up the formation energy from the elements of the fourth one. 0.0066 eV/atom